[1]
8
Lattice="5.0387 0.0000 0.0000 0.0000 5.0387 0.0000 0.0000 0.0000 4.9524" Properties=species:S:1:pos:R:3 comment="TbPrNO (PBE, optimized geometry)" magmom_total_mub_per_cell=0.006 spacegroup="P4/nmm (129)" density_g_cm3=8.7 e_above_lowest_polymorph_mev_per_atom=0 pbc="T T T"
Tb 1.2597 1.2597 0.0038
Tb 3.7790 3.7790 4.9485
Pr 1.2597 3.7790 2.4762
Pr 3.7790 1.2597 2.4762
N 1.2597 1.2597 2.4624
N 3.7790 3.7790 2.4900
O 1.2597 3.7790 0.0000
O 3.7790 1.2597 0.0000


[2]
8
Lattice="4.0799 0.0000 0.0000 0.0000 7.0732 0.0000 0.0000 0.0000 5.0850" Properties=species:S:1:pos:R:3 comment="TbPrNO (PBE, optimized geometry)" magmom_total_mub_per_cell=0.025 spacegroup="Pmc2_1 (26)" density_g_cm3=7.5 e_above_lowest_polymorph_mev_per_atom=56 pbc="T T T"
Tb 0.0000 1.2004 0.0000
Tb 0.0000 5.8729 2.5425
Pr 2.0400 2.3805 2.5401
Pr 2.0400 4.6927 5.0826
N 2.0400 2.2685 5.0842
N 2.0400 4.8047 2.5417
O 0.0000 1.0729 2.5345
O 0.0000 6.0003 5.0770


[3]
4
Lattice="3.5635 0.0000 0.0000 0.0000 3.5635 0.0000 0.0000 0.0000 4.9561" Properties=species:S:1:pos:R:3 comment="TbPrNO (PBE, optimized geometry)" magmom_total_mub_per_cell=0.001 spacegroup="P4/mmm (123)" density_g_cm3=8.7 e_above_lowest_polymorph_mev_per_atom=0 pbc="T T T"
Tb 0.0000 0.0000 0.0000
Pr 1.7818 1.7818 2.4781
N 0.0000 0.0000 2.4781
O 1.7818 1.7818 0.0000